[1]
Material: La2CoNiC
Method: DFT, PBE
State: relaxed

Geometry as extended XYZ:
```
5
Lattice="5.248 0.000 0.000 0.000 5.248 0.000 0.000 0.000 3.610" Properties=species:S:1:pos:R:3 pbc="T T T"
La 0.000 2.624 0.000
La 2.624 0.000 0.000
Co 0.000 0.000 1.805
Ni 2.624 2.624 1.805
C 0.000 0.000 0.000
```

Output
distance to the lowest polymorph of the same formula	0.0	meV/atom
volume	99.4	Å³ per cell
density of states at the Fermi level	0.569	states/eV/atom
calculated density	6.80	Mg/m³
calculated formation energy	-0.18	eV/atom


[2]
Material: La2PmCoC2
Method: DFT, PBE
State: relaxed

Geometry as extended XYZ:
```
12
Lattice="5.739 0.000 0.000 0.000 11.445 0.000 0.000 0.000 3.837" Properties=species:S:1:pos:R:3 pbc="T T T"
La 0.091 2.303 0.000
La 2.778 8.026 1.918
La 2.960 3.419 1.918
La 5.648 9.141 0.000
Pm 0.000 5.722 1.918
Pm 2.869 0.000 0.000
Co 0.000 0.000 1.918
Co 2.869 5.722 0.000
C 1.417 1.207 1.918
C 1.452 6.930 0.000
C 4.287 4.515 0.000
C 4.322 10.237 1.918
```

Output
volume	252.0	Å³ per cell
density of states at the Fermi level	0.977	states/eV/atom
calculated density	6.67	Mg/m³
calculated formation energy	-0.01	eV/atom